Arrangement A

Er5Al2Cd: optimized geometry, PBE-GGA.

abc: 7.656 7.656 9.103
angles: 114.87 114.87 90.00
Atoms (fractional coordinates):
Er  0.522  0.685  0.707
Er  0.815  0.978  0.293
Er  0.000  0.000  0.000
Er  0.500  0.500  0.000
Er  0.185  0.022  0.707
Er  0.685  0.185  0.707
Er  0.022  0.522  0.707
Er  0.315  0.815  0.293
Er  0.978  0.478  0.293
Er  0.478  0.315  0.293
Al  0.122  0.378  0.000
Al  0.622  0.122  0.000
Al  0.378  0.878  0.000
Al  0.878  0.622  0.000
Cd  0.750  0.750  0.500
Cd  0.250  0.250  0.500

***

Arrangement B

Er5Al2Cd: optimized geometry, PBE-GGA.

abc: 5.250 5.920 15.828
angles: 90.00 90.00 116.32
Atoms (fractional coordinates):
Er  0.915  0.830  0.910
Er  0.915  0.830  0.590
Er  0.391  0.781  0.431
Er  0.391  0.781  0.069
Er  0.630  0.260  0.250
Er  0.370  0.740  0.750
Er  0.609  0.219  0.569
Er  0.609  0.219  0.931
Er  0.085  0.170  0.090
Er  0.085  0.170  0.410
Al  0.769  0.537  0.413
Al  0.769  0.537  0.087
Al  0.231  0.463  0.587
Al  0.231  0.463  0.913
Cd  0.699  0.399  0.750
Cd  0.301  0.601  0.250

***

Which of them is the most stable, and which is the least stable? arrangement A and arrangement B, in that order.

***

Arrangement A

NdErAlCd: optimized geometry, PBE-GGA.

abc: 5.267 5.267 5.267
angles: 60.00 60.00 60.00
Atoms (fractional coordinates):
Cd  0.250  0.250  0.250
Nd  0.000  0.000  0.000
Al  0.750  0.750  0.750
Er  0.500  0.500  0.500

***

Arrangement B

NdErAlCd: optimized geometry, PBE-GGA.

abc: 3.662 3.662 7.665
angles: 90.00 90.00 90.00
Atoms (fractional coordinates):
Nd  0.500  0.500  0.121
Er  0.500  0.500  0.597
Al  0.000  0.000  0.372
Cd  0.000  0.000  0.838

***

Which of them is the most stable, and which is the least stable? arrangement B and arrangement A, in that order.

***

Arrangement A

ErScAlCd: optimized geometry, PBE-GGA.

abc: 5.033 5.033 5.033
angles: 60.00 60.00 60.00
Atoms (fractional coordinates):
Sc  0.000  0.000  0.000
Cd  0.750  0.750  0.750
Al  0.250  0.250  0.250
Er  0.500  0.500  0.500

***

Arrangement B

ErScAlCd: optimized geometry, PBE-GGA.

abc: 3.516 3.516 7.247
angles: 90.00 90.00 90.00
Atoms (fractional coordinates):
Er  0.500  0.500  0.809
Sc  0.500  0.500  0.332
Al  0.000  0.000  0.554
Cd  0.000  0.000  0.090

***

Which of them is the most stable, and which is the least stable? arrangement B and arrangement A, in that order.

***

Arrangement A

AlCdF3: optimized geometry, PBE-GGA.

abc: 4.024 4.024 4.024
angles: 90.00 90.00 90.00
Atoms (fractional coordinates):
F  0.000  0.500  0.000
F  0.000  0.000  0.500
F  0.500  0.000  0.000
Al  0.000  0.000  0.000
Cd  0.500  0.500  0.500

***

Arrangement B

AlCdF3: optimized geometry, PBE-GGA.

abc: 4.451 4.451 4.451
angles: 90.00 90.00 90.00
Atoms (fractional coordinates):
F  0.000  0.500  0.000
F  0.000  0.000  0.500
F  0.500  0.000  0.000
Al  0.500  0.500  0.500
Cd  0.000  0.000  0.000

***

Which of them is the most stable, and which is the least stable? arrangement A and arrangement B, in that order.

***

Arrangement A

Al2CdF: optimized geometry, PBE-GGA.

abc: 4.628 4.628 4.628
angles: 60.00 60.00 60.00
Atoms (fractional coordinates):
F  0.000  0.000  0.000
Al  0.250  0.250  0.250
Al  0.750  0.750  0.750
Cd  0.500  0.500  0.500

***

Arrangement B

Al2CdF: optimized geometry, PBE-GGA.

abc: 4.930 4.930 7.555
angles: 70.96 70.96 90.00
Atoms (fractional coordinates):
F  0.500  0.500  0.000
F  0.250  0.750  0.500
Al  0.494  0.125  0.250
Al  0.256  0.625  0.250
Al  0.375  0.506  0.750
Al  0.875  0.744  0.750
Cd  0.000  0.000  0.000
Cd  0.750  0.250  0.500

***

Which of them is the most stable, and which is the least stable? arrangement B and arrangement A, in that order.

***

Arrangement A

AlCdOF2: optimized geometry, PBE-GGA.

abc: 4.071 4.071 3.589
angles: 90.00 90.00 90.00
Atoms (fractional coordinates):
F  0.000  0.500  0.000
F  0.500  0.000  0.000
Al  0.000  0.000  0.000
O  0.000  0.000  0.500
Cd  0.500  0.500  0.500

***

Arrangement B

AlCdOF2: optimized geometry, PBE-GGA.

abc: 4.337 4.337 4.383
angles: 90.00 90.00 90.00
Atoms (fractional coordinates):
F  0.000  0.500  0.000
F  0.500  0.000  0.000
Al  0.500  0.500  0.500
O  0.000  0.000  0.500
Cd  0.000  0.000  0.000

***

Arrangement C

AlCdOF2: optimized geometry, PBE-GGA.

abc: 4.871 3.862 4.871
angles: 90.00 90.00 90.00
Atoms (fractional coordinates):
F  0.000  0.000  0.500
F  0.500  0.000  0.000
Al  0.500  0.500  0.500
O  0.000  0.000  0.000
Cd  0.000  0.500  0.000

***

Which of them is the most stable, and which is the least stable? arrangement A and arrangement C, in that order.

***

Arrangement A

AlCd3Fe: optimized geometry, PBE-GGA.

abc: 5.105 5.105 5.105
angles: 90.00 90.00 90.00
Atoms (fractional coordinates):
Al  0.000  0.000  0.000
Fe  0.500  0.500  0.500
Cd  0.000  0.500  0.000
Cd  0.000  0.000  0.500
Cd  0.500  0.000  0.000

***

Arrangement B

AlCd3Fe: optimized geometry, PBE-GGA.

abc: 5.057 5.057 5.057
angles: 90.00 90.00 90.00
Atoms (fractional coordinates):
Al  0.500  0.500  0.500
Fe  0.000  0.000  0.000
Cd  0.000  0.500  0.000
Cd  0.000  0.000  0.500
Cd  0.500  0.000  0.000

***

Which of them is the most stable, and which is the least stable? arrangement B and arrangement A, in that order.

***

Arrangement A

TiAl2CdFe: optimized geometry, PBE-GGA.

abc: 4.760 5.118 4.760
angles: 90.00 90.00 90.00
Atoms (fractional coordinates):
Al  0.000  0.000  0.500
Al  0.500  0.000  0.000
Ti  0.000  0.500  0.000
Fe  0.500  0.500  0.500
Cd  0.000  0.000  0.000

***

Arrangement B

TiAl2CdFe: optimized geometry, PBE-GGA.

abc: 5.043 5.043 4.230
angles: 90.00 90.00 90.00
Atoms (fractional coordinates):
Al  0.000  0.500  0.000
Al  0.500  0.000  0.000
Ti  0.000  0.000  0.000
Fe  0.000  0.000  0.500
Cd  0.500  0.500  0.500

***

Which of them is the most stable, and which is the least stable? arrangement B and arrangement A, in that order.